<P>
Here is crystalline AlPd2Pt8 at its relaxed geometry from Alexandria. Energies are from PBE-GGA.

Space group = No. 71

Structure (CIF):
```
data_AlPd2Pt8
_space_group_name_H-M_alt 'P 1'
_space_group_IT_number 1
_cell_length_a 7.3070
_cell_length_b 7.3070
_cell_length_c 7.3070
_cell_angle_alpha 149.27
_cell_angle_beta 115.03
_cell_angle_gamma 73.58
loop_
_space_group_symop_operation_xyz
'x,y,z'
loop_
_atom_site_label
_atom_site_fract_x
_atom_site_fract_y
_atom_site_fract_z
Al1 0.0000 0.0000 0.0000
Pd1 0.3454 0.3454 0.0000
Pd2 0.6546 0.6546 0.0000
Pt1 0.0838 0.8349 0.2489
Pt2 0.1637 0.6637 0.5000
Pt3 0.2477 0.5000 0.7477
Pt4 0.4140 0.1651 0.2489
Pt5 0.5860 0.8349 0.7511
Pt6 0.7523 0.5000 0.2523
Pt7 0.8363 0.3363 0.5000
Pt8 0.9162 0.1651 0.7511
```

<Q>
Here is crystalline AlPd2Pt8 at its relaxed geometry from Alexandria. Energies are from PBE-GGA.

Space group = No. 12

Structure (CIF):
```
data_AlPd2Pt8
_space_group_name_H-M_alt 'P 1'
_space_group_IT_number 1
_cell_length_a 6.8300
_cell_length_b 6.8300
_cell_length_c 4.7601
_cell_angle_alpha 103.54
_cell_angle_beta 103.54
_cell_angle_gamma 59.78
loop_
_space_group_symop_operation_xyz
'x,y,z'
loop_
_atom_site_label
_atom_site_fract_x
_atom_site_fract_y
_atom_site_fract_z
Al1 0.0000 0.0000 0.0000
Pd1 0.1219 0.1219 0.4899
Pd2 0.8781 0.8781 0.5101
Pt1 0.2280 0.2280 0.0590
Pt2 0.2302 0.6298 0.1953
Pt3 0.3580 0.3580 0.6462
Pt4 0.3702 0.7698 0.8047
Pt5 0.6298 0.2302 0.1953
Pt6 0.6420 0.6420 0.3538
Pt7 0.7698 0.3702 0.8047
Pt8 0.7720 0.7720 0.9410
```

Most stable: <P>. Least stable: <Q>.

<P>
Here is crystalline RbY2AlPd at its relaxed geometry from Alexandria. Energies are from PBE-GGA.

Space group = No. 123

Structure (CIF):
```
data_RbY2AlPd
_space_group_name_H-M_alt 'P 1'
_space_group_IT_number 1
_cell_length_a 5.7148
_cell_length_b 5.7148
_cell_length_c 4.8244
_cell_angle_alpha 90.00
_cell_angle_beta 90.00
_cell_angle_gamma 90.00
loop_
_space_group_symop_operation_xyz
'x,y,z'
loop_
_atom_site_label
_atom_site_fract_x
_atom_site_fract_y
_atom_site_fract_z
Rb1 0.0000 0.0000 0.0000
Y1 0.0000 0.5000 0.5000
Y2 0.5000 0.0000 0.5000
Al1 0.5000 0.5000 0.5000
Pd1 0.5000 0.5000 0.0000
```

<Q>
Here is crystalline RbY2AlPd at its relaxed geometry from Alexandria. Energies are from PBE-GGA.

Space group = No. 123

Structure (CIF):
```
data_RbY2AlPd
_space_group_name_H-M_alt 'P 1'
_space_group_IT_number 1
_cell_length_a 5.3583
_cell_length_b 5.3583
_cell_length_c 5.1264
_cell_angle_alpha 90.00
_cell_angle_beta 90.00
_cell_angle_gamma 90.00
loop_
_space_group_symop_operation_xyz
'x,y,z'
loop_
_atom_site_label
_atom_site_fract_x
_atom_site_fract_y
_atom_site_fract_z
Rb1 0.0000 0.0000 0.0000
Y1 0.0000 0.5000 0.0000
Y2 0.5000 0.0000 0.0000
Al1 0.0000 0.0000 0.5000
Pd1 0.5000 0.5000 0.5000
```

Most stable: <P>. Least stable: <Q>.

<P>
Here is crystalline AlRe3Pd at its relaxed geometry from Alexandria. Energies are from PBE-GGA.

Space group = No. 221

Structure (CIF):
```
data_AlRe3Pd
_space_group_name_H-M_alt 'P 1'
_space_group_IT_number 1
_cell_length_a 4.4185
_cell_length_b 4.4185
_cell_length_c 4.4185
_cell_angle_alpha 90.00
_cell_angle_beta 90.00
_cell_angle_gamma 90.00
loop_
_space_group_symop_operation_xyz
'x,y,z'
loop_
_atom_site_label
_atom_site_fract_x
_atom_site_fract_y
_atom_site_fract_z
Al1 0.0000 0.0000 0.0000
Re1 0.0000 0.0000 0.5000
Re2 0.0000 0.5000 0.0000
Re3 0.5000 0.0000 0.0000
Pd1 0.5000 0.5000 0.5000
```

<Q>
Here is crystalline AlRe3Pd at its relaxed geometry from Alexandria. Energies are from PBE-GGA.

Space group = No. 221

Structure (CIF):
```
data_AlRe3Pd
_space_group_name_H-M_alt 'P 1'
_space_group_IT_number 1
_cell_length_a 4.6808
_cell_length_b 4.6808
_cell_length_c 4.6808
_cell_angle_alpha 90.00
_cell_angle_beta 90.00
_cell_angle_gamma 90.00
loop_
_space_group_symop_operation_xyz
'x,y,z'
loop_
_atom_site_label
_atom_site_fract_x
_atom_site_fract_y
_atom_site_fract_z
Al1 0.0000 0.0000 0.0000
Re1 0.0000 0.5000 0.5000
Re2 0.5000 0.0000 0.5000
Re3 0.5000 0.5000 0.0000
Pd1 0.5000 0.5000 0.5000
```

Most stable: <P>. Least stable: <Q>.

<P>
Here is crystalline AlPd3Rh at its relaxed geometry from Alexandria. Energies are from PBE-GGA.

Space group = No. 221

Structure (CIF):
```
data_AlPd3Rh
_space_group_name_H-M_alt 'P 1'
_space_group_IT_number 1
_cell_length_a 4.4885
_cell_length_b 4.4885
_cell_length_c 4.4885
_cell_angle_alpha 90.00
_cell_angle_beta 90.00
_cell_angle_gamma 90.00
loop_
_space_group_symop_operation_xyz
'x,y,z'
loop_
_atom_site_label
_atom_site_fract_x
_atom_site_fract_y
_atom_site_fract_z
Al1 0.0000 0.0000 0.0000
Pd1 0.0000 0.0000 0.5000
Pd2 0.0000 0.5000 0.0000
Pd3 0.5000 0.0000 0.0000
Rh1 0.5000 0.5000 0.5000
```

<Q>
Here is crystalline AlPd3Rh at its relaxed geometry from Alexandria. Energies are from PBE-GGA.

Space group = No. 221

Structure (CIF):
```
data_AlPd3Rh
_space_group_name_H-M_alt 'P 1'
_space_group_IT_number 1
_cell_length_a 4.8047
_cell_length_b 4.8047
_cell_length_c 4.8047
_cell_angle_alpha 90.00
_cell_angle_beta 90.00
_cell_angle_gamma 90.00
loop_
_space_group_symop_operation_xyz
'x,y,z'
loop_
_atom_site_label
_atom_site_fract_x
_atom_site_fract_y
_atom_site_fract_z
Al1 0.0000 0.0000 0.0000
Pd1 0.0000 0.5000 0.5000
Pd2 0.5000 0.0000 0.5000
Pd3 0.5000 0.5000 0.0000
Rh1 0.5000 0.5000 0.5000
```

Most stable: <P>. Least stable: <Q>.